# Ba6Pd2I, relaxed, DFT PBE
# Formation energy without anion corrections = -0.533 eV/atom
data_Ba6Pd2I
_chemical_formula_sum 'Ba18 Pd6 I3'
_symmetry_space_group_name_H-M 'R 3'
_symmetry_Int_Tables_number 146
_symmetry_space_group_name_Hall 'R 3'
_cell_length_a 8.2632
_cell_length_b 8.2632
_cell_length_c 23.2915
_cell_angle_alpha 90.00
_cell_angle_beta 90.00
_cell_angle_gamma 120.00
loop_
_atom_site_label
_atom_site_type_symbol
_atom_site_fract_x
_atom_site_fract_y
_atom_site_fract_z
_atom_site_occupancy
Ba1 Ba 0.0299 0.3371 0.0000 1
Ba2 Ba 0.0406 0.6860 0.8290 1
Pd1 Pd 0.0000 0.0000 0.0767 1
Pd2 Pd 0.0000 0.0000 0.2518 1
I1 I 0.0000 0.0000 0.5818 1